(1)
Here is a relaxed CaLa2In crystal from Alexandria. Energies are from PBE-GGA.

The value obtained for the total magnetic moment is 0.00 μB/f.u. Its energy above the most stable polymorph in this dataset is 31 meV per atom. The calculation puts the density of states at the Fermi level at 4.13 states/eV/cell.

a = 3.7543 Å, b = 3.7543 Å, c = 9.7420 Å
α = 90.00°, β = 90.00°, γ = 90.00°
Last column: nearest neighbours and their distance in Å.
Positions (direct):
In (0.5000, 0.5000, 0.7474)  4 Ca 3.33, 4 La 3.42
La (0.0000, 0.0000, 0.9692)  4 In 3.42, 8 La 3.75-3.76
La (0.5000, 0.5000, 0.2432)  8 La 3.75-3.76, 4 Ca 3.93
Ca (0.0000, 0.0000, 0.5402)  4 In 3.33

=====

(2)
Here is a relaxed TlZn2B2 crystal from Alexandria. Energies are from PBE-GGA.

The value obtained for the total magnetic moment is 0.00 μB/f.u. Its energy above the most stable polymorph in this dataset is 531 meV per atom. The calculation puts the density of states at the Fermi level at 5.04 states/eV/cell.

a = 7.4630 Å, b = 7.4630 Å, c = 2.6804 Å
α = 90.00°, β = 90.00°, γ = 90.00°
Last column: nearest neighbours and their distance in Å.
Positions (direct):
Tl (0.0000, 0.0000, 0.0000)  2 Tl 2.68, 4 Zn 2.92
Tl (0.5000, 0.5000, 0.0000)  2 Tl 2.68, 4 Zn 2.92
Zn (0.6326, 0.1326, 0.0000)  6 B 2.47-2.70, 2 Zn 2.68
Zn (0.8674, 0.6326, 0.0000)  6 B 2.47-2.70, 2 Zn 2.68
Zn (0.3674, 0.8674, 0.0000)  6 B 2.47-2.70, 2 Zn 2.68
Zn (0.1326, 0.3674, 0.0000)  6 B 2.47-2.70, 2 Zn 2.68
B (0.8551, 0.3551, 0.5000)  6 Zn 2.47-2.70, 2 B 2.68
B (0.1449, 0.6449, 0.5000)  6 Zn 2.47-2.70, 2 B 2.68
B (0.6449, 0.8551, 0.5000)  6 Zn 2.47-2.70, 2 B 2.68
B (0.3551, 0.1449, 0.5000)  6 Zn 2.47-2.70, 2 B 2.68

=====

(3)
Here is a relaxed NaZnAgBi crystal from Alexandria. Energies are from PBE-GGA.

The value obtained for the total magnetic moment is 0.00 μB/f.u. The raw total energy is -2.33 eV/atom. The calculation puts the density of states at the Fermi level at 2.60 states/eV/cell.

a = 5.0679 Å, b = 5.0679 Å, c = 5.0679 Å
α = 60.00°, β = 60.00°, γ = 60.00°
Last column: nearest neighbours and their distance in Å.
Positions (direct):
Ag (0.2500, 0.2500, 0.2500)  4 Na 3.10, 4 Bi 3.10
Bi (0.0000, 0.0000, 0.0000)  4 Ag 3.10, 4 Zn 3.10
Zn (0.7500, 0.7500, 0.7500)  4 Bi 3.10, 4 Na 3.10
Na (0.5000, 0.5000, 0.5000)  4 Zn 3.10, 4 Ag 3.10

=====

(4)
Here is a relaxed LaSnH6Rh2 crystal from Alexandria. Energies are from PBE-GGA.

The value obtained for the total magnetic moment is 0.00 μB/f.u. The raw total energy is -4.75 eV/atom. The calculation puts the density of states at the Fermi level at 3.10 states/eV/cell.

a = 4.5871 Å, b = 4.5871 Å, c = 6.3707 Å
α = 68.90°, β = 68.90°, γ = 60.00°
Last column: nearest neighbours and their distance in Å.
Positions (direct):
H (0.4350, 0.4350, 0.1763)  1 Rh 1.65
H (0.9537, 0.4350, 0.1763)  1 Rh 1.65
H (0.5650, 0.5650, 0.8237)  1 Rh 1.65
H (0.4350, 0.9537, 0.1763)  1 Rh 1.65
H (0.0463, 0.5650, 0.8237)  1 Rh 1.65
H (0.5650, 0.0463, 0.8237)  1 Rh 1.65
Rh (0.2140, 0.2140, 0.3579)  3 H 1.65
Rh (0.7860, 0.7860, 0.6421)  3 H 1.65
Sn (0.5000, 0.5000, 0.5000)  6 H 2.32
La (0.0000, 0.0000, 0.0000)  12 H 2.51

=====

(5)
Here is a relaxed SrMn2Tc crystal from Alexandria. Energies are from PBE-GGA.

The value obtained for the total magnetic moment is 0.00 μB/f.u. Its energy above the most stable polymorph in this dataset is 693 meV per atom. The calculation puts the density of states at the Fermi level at 6.89 states/eV/cell.

a = 4.4722 Å, b = 4.4722 Å, c = 4.4722 Å
α = 60.00°, β = 60.00°, γ = 60.00°
Last column: nearest neighbours and their distance in Å.
Positions (direct):
Mn (0.7500, 0.7500, 0.7500)  4 Tc 2.74, 4 Sr 2.74
Mn (0.2500, 0.2500, 0.2500)  4 Tc 2.74, 4 Sr 2.74
Sr (0.0000, 0.0000, 0.0000)  8 Mn 2.74
Tc (0.5000, 0.5000, 0.5000)  8 Mn 2.74

=====

(6)
Here is a relaxed Eu2PaCd crystal from Alexandria. Energies are from PBE-GGA.

The value obtained for the total magnetic moment is 14.48 μB/f.u. The raw total energy is -7.45 eV/atom. The calculation puts the density of states at the Fermi level at 5.19 states/eV/cell.

a = 3.3026 Å, b = 3.3026 Å, c = 12.3959 Å
α = 82.34°, β = 82.34°, γ = 60.00°
Last column: nearest neighbours and their distance in Å.
Positions (direct):
Cd (0.5000, 0.5000, 0.5000)  6 Cd 3.30, 6 Eu 3.44
Pa (0.0000, 0.0000, 0.0000)  2 Eu 3.26, 6 Pa 3.30
Eu (0.9112, 0.9112, 0.2664)  1 Pa 3.26, 6 Eu 3.30, 3 Cd 3.44
Eu (0.0888, 0.0888, 0.7336)  1 Pa 3.26, 6 Eu 3.30, 3 Cd 3.44

=====

(7)
Here is a relaxed Rb4AgF2 crystal from Alexandria. Energies are from PBE-GGA.

The value obtained for the total magnetic moment is 0.00 μB/f.u. The calculation puts the density of states at the Fermi level at 2.19 states/eV/cell. As for the formation energy (no corrections): -1.162 eV per atom.

a = 6.4215 Å, b = 6.4215 Å, c = 9.2083 Å
α = 69.59°, β = 69.59°, γ = 90.00°
Last column: nearest neighbours and their distance in Å.
Positions (direct):
Rb (0.0000, 0.5000, 0.0000)  2 Ag 3.21
Rb (0.5000, 0.0000, 0.0000)  2 Ag 3.21
Rb (0.7554, 0.7554, 0.4892)  1 F 2.47
Rb (0.2446, 0.2446, 0.5108)  1 F 2.47
Ag (0.0000, 0.0000, 0.0000)  4 Rb 3.21
F (0.6015, 0.6015, 0.7970)  1 Rb 2.47
F (0.3985, 0.3985, 0.2030)  1 Rb 2.47

=====

(8)
Here is a relaxed SrPt3Br crystal from Alexandria. Energies are from PBE-GGA.

The value obtained for the total magnetic moment is 0.00 μB/f.u. Its energy above the most stable polymorph in this dataset is 1271 meV per atom. The calculation puts the density of states at the Fermi level at 7.50 states/eV/cell. As for the formation energy (no corrections): 1.529 eV per atom.

a = 5.3202 Å, b = 5.3202 Å, c = 5.3202 Å
α = 90.00°, β = 90.00°, γ = 90.00°
Last column: nearest neighbours and their distance in Å.
Positions (direct):
Pt (0.5000, 0.0000, 0.0000)  2 Sr 2.66
Pt (0.0000, 0.5000, 0.0000)  2 Sr 2.66
Pt (0.0000, 0.0000, 0.5000)  2 Sr 2.66
Br (0.5000, 0.5000, 0.5000)  12 Pt 3.76
Sr (0.0000, 0.0000, 0.0000)  6 Pt 2.66